# AlRe2Au

A relaxed structure of AlRe2Au (PBE, OQMD via LeMat-Bulk).

Unit cell a=6.277 b=6.277 c=6.277 alpha=90.00 beta=90.00 gamma=90.00
Space group F-43m (No. 216)
Asymmetric unit:
Al  0.000  0.000  0.000 x4
Re  0.000  0.000  0.500 x4
Re  0.250  0.250  0.750 x4
Au  0.250  0.250  0.250 x4

Computed properties:
DFT total energy	-122.95	eV/cell